# 1
VASP calculation (PBE) on an optimized crystal structure of Tl9InHg6.

Structure (POSCAR):
```
Tl9InHg6
1.0
7.583 0.000 -4.198
-2.324 7.218 -4.198
-0.092 -0.127 8.781
Tl Hg In
9 6 1
Direct
0.677 0.479 0.682
0.203 0.677 0.682
0.521 0.995 0.318
0.995 0.797 0.318
0.323 0.521 0.318
0.005 0.203 0.682
0.797 0.323 0.318
0.500 0.500 0.000
0.479 0.005 0.682
0.661 0.863 0.000
0.339 0.137 0.000
0.240 0.240 0.480
0.137 0.661 0.000
0.863 0.339 0.000
0.760 0.760 0.520
0.000 0.000 0.000
```

The value obtained for the formation energy is 2 meV per atom.

***

# 2
VASP calculation (PBE) on an optimized crystal structure of TlIn8Hg2.

Structure (POSCAR):
```
TlIn8Hg2
1.0
-3.254 -1.628 4.209
4.473 -2.381 6.983
2.022 5.443 5.891
In Tl Hg
8 1 2
Direct
0.878 0.085 0.230
0.679 0.603 0.000
0.122 0.915 0.770
0.321 0.397 0.000
0.878 0.315 0.770
0.500 0.228 0.543
0.500 0.772 0.457
0.122 0.685 0.230
0.500 0.000 0.000
0.000 0.315 0.370
0.000 0.685 0.630
```

The value obtained for the formation energy is 58 meV per atom. Its offset from the most stable computed form is 38 meV/atom.

***

# 3
VASP calculation (PBE) on an optimized crystal structure of Tl7In12Hg.

Structure (POSCAR):
```
Tl7In12Hg
1.0
-3.722 3.663 -4.140
6.743 -6.314 -6.014
-11.288 -0.813 -2.800
In Tl Hg
12 7 1
Direct
0.395 0.308 0.651
0.471 0.133 0.323
0.719 0.425 0.326
0.605 0.692 0.349
0.281 0.575 0.674
0.170 0.847 0.345
0.233 0.269 0.977
0.767 0.731 0.023
0.830 0.153 0.655
0.715 0.458 0.791
0.285 0.542 0.209
0.529 0.867 0.677
0.098 0.325 0.384
0.236 0.662 0.001
0.902 0.675 0.616
0.169 0.997 0.664
0.500 0.000 0.000
0.764 0.338 0.999
0.831 0.003 0.336
0.000 0.000 0.000
```

The value obtained for the formation energy is 41 meV per atom.

***

# 4
VASP calculation (PBE) on an optimized crystal structure of TlIn3Hg6.

Structure (POSCAR):
```
TlIn3Hg6
1.0
3.474 0.000 0.000
0.000 11.899 1.610
0.000 -2.237 12.914
Hg In Tl
12 6 2
Direct
0.750 0.474 0.693
0.750 0.730 0.721
0.250 0.566 0.892
0.250 0.095 0.904
0.250 0.270 0.279
0.750 0.764 0.304
0.750 0.434 0.108
0.750 0.905 0.096
0.250 0.526 0.307
0.250 0.862 0.512
0.250 0.236 0.696
0.750 0.138 0.488
0.750 0.332 0.894
0.250 0.375 0.498
0.250 0.668 0.106
0.250 0.837 0.902
0.750 0.163 0.098
0.750 0.625 0.502
0.750 0.996 0.699
0.250 0.004 0.301
```

The value obtained for the formation energy is 4 meV per atom. Its offset from the most stable computed form is 0 meV/atom.

***

# 5
VASP calculation (PBE) on an optimized crystal structure of Tl2In4Hg5.

Structure (POSCAR):
```
Tl2In4Hg5
1.0
-5.882 -1.696 1.340
-3.742 -3.256 -5.893
-0.620 -7.127 2.909
In Hg Tl
4 5 2
Direct
0.236 0.080 0.448
0.764 0.554 0.918
0.236 0.446 0.082
0.764 0.920 0.552
0.000 0.500 0.500
0.756 0.152 0.848
0.244 0.848 0.152
0.244 0.152 0.848
0.756 0.848 0.152
0.325 0.674 0.676
0.675 0.326 0.324
```

The value obtained for the formation energy is 16 meV per atom. Its offset from the most stable computed form is 0 meV/atom.

***

# 6
VASP calculation (PBE) on an optimized crystal structure of Tl3In3Hg4.

Structure (POSCAR):
```
Tl3In3Hg4
1.0
-5.078 -6.321 4.241
-2.293 0.317 -8.853
8.854 -2.173 0.782
In Hg Tl
6 8 6
Direct
0.875 0.625 0.750
0.375 0.250 0.125
0.750 0.125 0.875
0.125 0.750 0.375
0.625 0.875 0.250
0.250 0.375 0.625
0.000 0.000 0.276
0.276 0.500 0.000
0.500 0.776 0.500
0.000 0.000 0.776
0.500 0.276 0.500
0.224 0.724 0.724
0.776 0.500 0.000
0.724 0.224 0.224
0.250 0.875 0.125
0.750 0.625 0.375
0.375 0.125 0.750
0.625 0.750 0.875
0.125 0.375 0.250
0.875 0.250 0.625
```

The value obtained for the formation energy is 63 meV per atom. Its offset from the most stable computed form is 39 meV/atom.

***

# 7
VASP calculation (PBE) on an optimized crystal structure of TlIn6Hg3.

Structure (POSCAR):
```
TlIn6Hg3
1.0
-0.313 4.088 -4.077
0.011 -7.387 -7.409
-9.193 3.157 3.872
In Hg Tl
12 6 2
Direct
0.540 0.608 0.715
0.677 0.298 0.702
0.177 0.702 0.298
0.380 0.946 0.054
0.324 0.036 0.449
0.324 0.551 0.964
0.040 0.715 0.608
0.824 0.449 0.036
0.540 0.285 0.392
0.824 0.964 0.551
0.040 0.392 0.285
0.880 0.054 0.946
0.460 0.911 0.735
0.960 0.735 0.911
0.090 0.404 0.596
0.960 0.089 0.265
0.460 0.265 0.089
0.590 0.596 0.404
0.689 0.797 0.203
0.189 0.203 0.797
```

The value obtained for the formation energy is 31 meV per atom. Its offset from the most stable computed form is 18 meV/atom.

***

# 8
VASP calculation (PBE) on an optimized crystal structure of Tl5InHg3.

Structure (POSCAR):
```
Tl5InHg3
1.0
-2.818 -3.467 -5.799
-1.686 -4.074 7.875
-7.041 7.089 -0.817
In Tl Hg
2 10 6
Direct
0.239 0.000 0.250
0.761 0.000 0.750
0.590 0.662 0.409
0.405 0.340 0.080
0.935 0.340 0.580
0.065 0.660 0.420
0.258 0.000 0.750
0.410 0.338 0.591
0.595 0.660 0.920
0.742 0.000 0.250
0.072 0.662 0.909
0.928 0.338 0.091
0.000 0.000 0.500
0.326 0.685 0.170
0.674 0.315 0.830
0.641 0.315 0.330
0.359 0.685 0.670
0.000 0.000 0.000
```

The value obtained for the formation energy is 47 meV per atom.

***

# 9
VASP calculation (PBE) on an optimized crystal structure of Tl3InHg.

Structure (POSCAR):
```
Tl3InHg
1.0
-4.976 1.425 -2.739
-2.488 -4.926 1.958
-1.828 2.828 4.791
Hg Tl In
1 3 1
Direct
0.500 0.500 0.500
0.500 0.000 0.000
0.000 0.500 0.000
0.000 0.000 0.500
0.000 0.000 0.000
```

The value obtained for the formation energy is 280 meV per atom. Its offset from the most stable computed form is 262 meV/atom.

***

# 10
VASP calculation (PBE) on an optimized crystal structure of TlInHg2.

Structure (POSCAR):
```
TlInHg2
1.0
3.400 0.183 0.000
-1.036 3.243 0.000
0.000 0.000 9.922
Tl In Hg
1 1 2
Direct
0.500 0.500 0.750
0.500 0.500 0.250
0.000 0.000 0.490
0.000 0.000 0.010
```

The value obtained for the formation energy is 0 meV per atom.

***

# 11
VASP calculation (PBE) on an optimized crystal structure of Tl2In4Hg5.

Structure (POSCAR):
```
Tl2In4Hg5
1.0
-2.388 5.579 -0.303
-4.212 1.892 7.147
1.844 4.535 8.068
In Tl Hg
4 2 5
Direct
0.726 0.073 0.474
0.293 0.445 0.968
0.274 0.927 0.526
0.707 0.555 0.032
0.101 0.485 0.313
0.899 0.515 0.687
0.840 0.010 0.824
0.326 0.010 0.824
0.500 0.500 0.500
0.674 0.990 0.176
0.160 0.990 0.176
```

The value obtained for the formation energy is 31 meV per atom. Its offset from the most stable computed form is 15 meV/atom.

***

# 12
VASP calculation (PBE) on an optimized crystal structure of Tl2In6Hg21.

Structure (POSCAR):
```
Tl2In6Hg21
1.0
9.192 0.000 5.307
3.064 8.666 5.307
0.000 0.000 10.614
Hg In Tl
21 6 2
Direct
0.366 0.902 0.366
0.634 0.098 0.634
0.634 0.634 0.098
0.000 0.344 0.656
0.902 0.366 0.366
0.366 0.366 0.902
0.000 0.000 0.656
0.000 0.656 0.000
0.366 0.366 0.366
0.656 0.000 0.000
0.000 0.344 0.000
0.344 0.000 0.656
0.000 0.656 0.344
0.656 0.344 0.000
0.000 0.000 0.344
0.344 0.656 0.000
0.000 0.000 0.000
0.634 0.634 0.634
0.656 0.000 0.344
0.098 0.634 0.634
0.344 0.000 0.000
0.290 0.710 0.290
0.710 0.290 0.290
0.710 0.710 0.290
0.710 0.290 0.710
0.290 0.290 0.710
0.290 0.710 0.710
0.750 0.750 0.750
0.250 0.250 0.250
```

The value obtained for the formation energy is 38 meV per atom.

***

# 13
VASP calculation (PBE) on an optimized crystal structure of Tl7InHg2.

Structure (POSCAR):
```
Tl7InHg2
1.0
3.388 0.000 0.000
0.000 10.520 -4.724
0.000 -3.634 10.944
Tl Hg In
7 2 1
Direct
0.000 0.653 0.347
0.500 0.695 0.887
0.000 0.347 0.653
0.500 0.113 0.305
0.500 0.305 0.113
0.500 0.500 0.500
0.500 0.887 0.695
0.500 0.214 0.786
0.500 0.786 0.214
0.000 0.000 0.000
```

The value obtained for the formation energy is 55 meV per atom.

***

# 14
VASP calculation (PBE) on an optimized crystal structure of Tl3In4Hg8.

Structure (POSCAR):
```
Tl3In4Hg8
1.0
5.983 6.724 0.085
-5.983 6.724 0.085
0.000 3.322 5.547
Hg Tl In
8 3 4
Direct
0.728 0.272 0.000
0.272 0.728 0.000
0.756 0.244 0.500
0.244 0.756 0.500
0.332 0.332 0.268
0.238 0.238 0.919
0.668 0.668 0.732
0.762 0.762 0.081
0.000 0.500 0.500
0.500 0.000 0.500
0.500 0.500 0.500
0.000 0.000 0.000
0.000 0.500 0.000
0.500 0.000 0.000
0.000 0.000 0.500
```

The value obtained for the formation energy is 36 meV per atom. Its offset from the most stable computed form is 4 meV/atom.

***

# 15
VASP calculation (PBE) on an optimized crystal structure of TlIn3Hg.

Structure (POSCAR):
```
TlIn3Hg
1.0
5.613 0.000 0.000
0.000 5.613 0.000
0.000 0.000 5.613
In Tl Hg
3 1 1
Direct
0.500 0.000 0.000
0.000 0.000 0.500
0.000 0.500 0.000
0.500 0.500 0.500
0.000 0.000 0.000
```

The value obtained for the formation energy is 307 meV per atom. Its offset from the most stable computed form is 288 meV/atom.

***

# 16
VASP calculation (PBE) on an optimized crystal structure of TlInHg2.

Structure (POSCAR):
```
TlInHg2
1.0
4.800 0.000 0.000
0.000 4.922 0.000
0.000 0.000 4.658
Hg Tl In
2 1 1
Direct
0.000 0.000 0.000
0.500 0.500 0.000
0.000 0.500 0.500
0.500 0.000 0.500
```

The value obtained for the formation energy is 2 meV per atom.

***

# 17
VASP calculation (PBE) on an optimized crystal structure of TlInHg2.

Structure (POSCAR):
```
TlInHg2
1.0
3.577 0.000 0.000
1.789 3.098 0.000
1.789 1.033 10.081
Hg In Tl
2 1 1
Direct
0.254 0.254 0.239
0.079 0.079 0.762
0.666 0.666 0.001
0.501 0.501 0.498
```

The value obtained for the formation energy is 3 meV per atom.

***

# 18
VASP calculation (PBE) on an optimized crystal structure of Tl4In6Hg5.

Structure (POSCAR):
```
Tl4In6Hg5
1.0
5.365 0.000 0.000
-2.683 12.601 0.000
0.000 0.000 12.732
In Hg Tl
12 10 8
Direct
0.945 0.890 0.670
0.605 0.210 0.359
0.405 0.809 0.102
0.457 0.914 0.478
0.268 0.536 0.497
0.595 0.191 0.602
0.395 0.790 0.859
0.055 0.110 0.170
0.732 0.464 0.997
0.774 0.547 0.235
0.226 0.453 0.735
0.543 0.086 0.978
0.853 0.706 0.037
0.717 0.435 0.461
0.328 0.657 0.288
0.500 0.999 0.741
0.147 0.294 0.537
0.500 0.001 0.241
0.672 0.343 0.788
0.283 0.565 0.961
0.363 0.726 0.634
0.637 0.274 0.134
0.185 0.370 0.267
0.853 0.706 0.475
0.815 0.630 0.767
0.076 0.152 0.762
0.924 0.848 0.262
0.971 0.941 0.949
0.029 0.059 0.449
0.147 0.294 0.975
```

The value obtained for the formation energy is 29 meV per atom.

***

# 19
VASP calculation (PBE) on an optimized crystal structure of Tl4In3Hg4.

Structure (POSCAR):
```
Tl4In3Hg4
1.0
-1.368 3.044 0.940
-6.285 -3.807 0.223
-3.487 -10.451 11.242
Tl Hg In
4 4 3
Direct
0.810 0.825 0.638
0.492 0.527 0.100
0.508 0.473 0.900
0.189 0.175 0.362
0.256 0.285 0.539
0.960 0.921 0.824
0.040 0.079 0.176
0.744 0.715 0.461
0.618 0.650 0.278
0.000 0.000 0.000
0.382 0.350 0.722
```

The value obtained for the formation energy is 20 meV per atom. Its offset from the most stable computed form is 0 meV/atom.